(1)
A plane-wave DFT calculation with GGA-PBE was carried out for a relaxed Al4Co2NiRh crystal.

a b c (Å): 4.1159 4.1159 7.1335
angles (deg): 73.23 73.23 60.00
Last column: magnetic moment on the atom in μB.
Fractional positions:
Al 0.3770 0.3770 0.8691  0.00
Al 0.8733 0.8733 0.3800  0.00
Al 0.1267 0.1267 0.6200  0.00
Al 0.6230 0.6230 0.1309  0.00
Co 0.7507 0.7507 0.7480  0.45
Co 0.2493 0.2493 0.2520  0.45
Ni 0.5000 0.5000 0.5000  0.27
Rh 0.0000 0.0000 0.0000  0.07

Values from the calculation:
The formation energy is -707 meV/atom. For the density of states at the Fermi level, the calculation gives 0.42 states/eV per atom. The value obtained for the total DFT energy (no corrections) is -5.9966 eV/atom.

---

(2)
A plane-wave DFT calculation with GGA-PBE was carried out for a relaxed ScAlCoNi crystal.

a b c (Å): 4.2573 4.2573 4.2573
angles (deg): 60.00 60.00 60.00
Last column: magnetic moment on the atom in μB.
Fractional positions:
Sc 0.0000 0.0000 0.0000  -0.02
Ni 0.2500 0.2500 0.2500  0.09
Co 0.7500 0.7500 0.7500  0.23
Al 0.5000 0.5000 0.5000  0.00

Values from the calculation:
The formation energy is -545 meV/atom. For the density of states at the Fermi level, the calculation gives 0.76 states/eV per atom. The value obtained for the total DFT energy (no corrections) is -6.2853 eV/atom.

---

(3)
A plane-wave DFT calculation with GGA-PBE was carried out for a relaxed Sc5Al2Co2Ni crystal.

a b c (Å): 3.2408 10.5050 10.5050
angles (deg): 90.00 90.00 90.00
Fractional positions:
Sc 0.5000 0.1979 0.0712
Sc 0.5000 0.8021 0.9288
Sc 0.5000 0.0712 0.8021
Sc 0.5000 0.6979 0.4288
Sc 0.5000 0.9288 0.1979
Sc 0.5000 0.3021 0.5712
Sc 0.5000 0.5712 0.6979
Sc 0.5000 0.4288 0.3021
Sc 0.5000 0.5000 0.0000
Sc 0.5000 0.0000 0.5000
Al 0.0000 0.6757 0.1757
Al 0.0000 0.3243 0.8243
Al 0.0000 0.1757 0.3243
Al 0.0000 0.8243 0.6757
Co 0.0000 0.1372 0.6372
Co 0.0000 0.8628 0.3628
Co 0.0000 0.6372 0.8628
Co 0.0000 0.3628 0.1372
Ni 0.0000 0.0000 0.0000
Ni 0.0000 0.5000 0.5000

Values from the calculation:
The formation energy is -351 meV/atom. For the density of states at the Fermi level, the calculation gives 0.60 states/eV per atom. The value obtained for the total DFT energy (no corrections) is -6.2642 eV/atom.

---

(4)
A plane-wave DFT calculation with GGA-PBE was carried out for a relaxed AlCoNiSe2 crystal.

a b c (Å): 4.6412 4.3863 4.6412
angles (deg): 90.00 90.00 90.00
Last column: magnetic moment on the atom in μB.
Fractional positions:
Ni 0.0000 0.5000 0.0000  0.77
Co 0.0000 0.0000 0.0000  0.99
Al 0.5000 0.5000 0.5000  0.02
Se 0.0000 0.0000 0.5000  0.03
Se 0.5000 0.0000 0.0000  0.06

Values from the calculation:
For the density of states at the Fermi level, the calculation gives 1.23 states/eV per atom. The value obtained for the total DFT energy (no corrections) is -4.2268 eV/atom.

---

Which of these has the lowest total DFT energy (no corrections)?
ScAlCoNi

---

Look up the total DFT energy (no corrections) of the second one.
-6.2853 eV/atom